# 1
Density functional theory data (GGA-PBE) for a relaxed structure of Zn9SnPt2.

## Properties
total moment: 0.0 μB/f.u.
ΔE_f: -0.19 eV per atom
SG: I4_1/amd
density of states at the Fermi level: 7.47 states/eV/cell

Unit cell a=8.3470 b=8.3470 c=8.3470 alpha=99.86 beta=99.86 gamma=131.11
Last column: nearest neighbours and their distance in Å.
Positions (direct):
Zn: 0.0563 0.2223 0.4233  6 Zn 2.61-2.90, 2 Pt 2.62-2.65
Zn: 0.0563 0.6330 0.8341  6 Zn 2.61-2.90, 2 Pt 2.62-2.65
Zn: 0.2223 0.0563 0.9233  6 Zn 2.61-2.90, 2 Pt 2.62-2.65
Zn: 0.2223 0.2989 0.1659  6 Zn 2.61-2.90, 2 Pt 2.62-2.65
Zn: 0.2989 0.2223 0.6659  6 Zn 2.61-2.90, 2 Pt 2.62-2.65
Zn: 0.2989 0.6330 0.0767  6 Zn 2.61-2.90, 2 Pt 2.62-2.65
Zn: 0.3670 0.7011 0.4233  6 Zn 2.61-2.90, 2 Pt 2.62-2.65
Zn: 0.3670 0.9437 0.6659  6 Zn 2.61-2.90, 2 Pt 2.62-2.65
Zn: 0.3750 0.6250 0.7500  4 Pt 2.82, 8 Zn 2.90
Zn: 0.6250 0.3750 0.2500  4 Pt 2.82, 8 Zn 2.90
Zn: 0.6330 0.0563 0.3341  6 Zn 2.61-2.90, 2 Pt 2.62-2.65
Zn: 0.6330 0.2989 0.5767  6 Zn 2.61-2.90, 2 Pt 2.62-2.65
Zn: 0.7011 0.3670 0.9233  6 Zn 2.61-2.90, 2 Pt 2.62-2.65
Zn: 0.7011 0.7777 0.3341  6 Zn 2.61-2.90, 2 Pt 2.62-2.65
Zn: 0.7777 0.7011 0.8341  6 Zn 2.61-2.90, 2 Pt 2.62-2.65
Zn: 0.7777 0.9437 0.0767  6 Zn 2.61-2.90, 2 Pt 2.62-2.65
Zn: 0.9437 0.3670 0.1659  6 Zn 2.61-2.90, 2 Pt 2.62-2.65
Zn: 0.9437 0.7777 0.5767  6 Zn 2.61-2.90, 2 Pt 2.62-2.65
Sn: 0.1250 0.8750 0.2500  18 Zn 3.31-3.45
Sn: 0.8750 0.1250 0.7500  18 Zn 3.31-3.45
Pt: 0.0000 0.5000 0.5000  10 Zn 2.62-2.82
Pt: 0.5000 0.0000 0.0000  10 Zn 2.62-2.82
Pt: 0.5000 0.5000 0.0000  10 Zn 2.62-2.82
Pt: 0.5000 0.5000 0.5000  10 Zn 2.62-2.82

# 2
Density functional theory data (GGA-PBE) for a relaxed structure of ZnSn2Pt2.

## Properties
total moment: 0.0 μB/f.u.
ΔE_f: -0.13 eV per atom
SG: I4/mmm
density of states at the Fermi level: 1.73 states/eV/cell
energy above the lowest structure with this stoichiometry: 156 meV per atom

Unit cell a=7.5720 b=7.5720 c=7.5720 alpha=149.76 beta=149.76 gamma=43.30
Last column: nearest neighbours and their distance in Å.
Positions (direct):
Zn: 0.0000 0.0000 0.0000  8 Sn 3.23
Sn: 0.3845 0.3845 0.0000  4 Pt 2.74
Sn: 0.6155 0.6155 0.0000  4 Pt 2.74
Pt: 0.2500 0.7500 0.5000  4 Sn 2.74, 4 Pt 2.79
Pt: 0.7500 0.2500 0.5000  4 Sn 2.74, 4 Pt 2.79

# 3
Density functional theory data (GGA-PBE) for a relaxed structure of Zn4SnPt15.

## Properties
total moment: 0.0 μB/f.u.
ΔE_f: -0.34 eV per atom
SG: P4/mmm
density of states at the Fermi level: 19.51 states/eV/cell

Unit cell a=3.9524 b=3.9524 c=19.8476 alpha=90.00 beta=90.00 gamma=90.00
Last column: nearest neighbours and their distance in Å.
Positions (direct):
Zn: 0.0000 0.0000 0.0988  12 Pt 2.78-2.79
Zn: 0.0000 0.0000 0.2947  12 Pt 2.77-2.79
Zn: 0.0000 0.0000 0.7053  12 Pt 2.77-2.79
Zn: 0.0000 0.0000 0.9012  12 Pt 2.78-2.79
Sn: 0.0000 0.0000 0.5000  12 Pt 2.79-2.89
Pt: 0.0000 0.5000 0.0000  8 Pt 2.78-2.79, 4 Zn 2.78
Pt: 0.0000 0.5000 0.1970  4 Zn 2.77-2.78, 8 Pt 2.78-2.79
Pt: 0.0000 0.5000 0.3938  8 Pt 2.77-2.89, 2 Zn 2.79, 2 Sn 2.89
Pt: 0.0000 0.5000 0.6062  8 Pt 2.77-2.89, 2 Zn 2.79, 2 Sn 2.89
Pt: 0.0000 0.5000 0.8030  4 Zn 2.77-2.78, 8 Pt 2.78-2.79
Pt: 0.5000 0.0000 0.0000  8 Pt 2.78-2.79, 4 Zn 2.78
Pt: 0.5000 0.0000 0.1970  4 Zn 2.77-2.78, 8 Pt 2.78-2.79
Pt: 0.5000 0.0000 0.3938  8 Pt 2.77-2.89, 2 Zn 2.79, 2 Sn 2.89
Pt: 0.5000 0.0000 0.6062  8 Pt 2.77-2.89, 2 Zn 2.79, 2 Sn 2.89
Pt: 0.5000 0.0000 0.8030  4 Zn 2.77-2.78, 8 Pt 2.78-2.79
Pt: 0.5000 0.5000 0.0985  8 Pt 2.78, 4 Zn 2.79
Pt: 0.5000 0.5000 0.2958  8 Pt 2.77-2.78, 4 Zn 2.79
Pt: 0.5000 0.5000 0.5000  4 Sn 2.79, 8 Pt 2.89
Pt: 0.5000 0.5000 0.7042  8 Pt 2.77-2.78, 4 Zn 2.79
Pt: 0.5000 0.5000 0.9015  8 Pt 2.78, 4 Zn 2.79

# 4
Density functional theory data (GGA-PBE) for a relaxed structure of Zn4Sn2Pt.

## Properties
total moment: 0.0 μB/f.u.
ΔE_f: 0.11 eV per atom
SG: I4/mmm
density of states at the Fermi level: 2.84 states/eV/cell

Unit cell a=7.6996 b=7.6996 c=7.6996 alpha=142.81 beta=142.81 gamma=53.62
Last column: nearest neighbours and their distance in Å.
Positions (direct):
Zn: 0.0000 0.5000 0.5000  2 Pt 2.46
Zn: 0.1797 0.1797 0.0000  1 Pt 2.47, 1 Sn 2.69
Zn: 0.5000 0.0000 0.5000  2 Pt 2.46
Zn: 0.8203 0.8203 0.0000  1 Pt 2.47, 1 Sn 2.69
Sn: 0.3757 0.3757 0.0000  5 Zn 2.69-2.99
Sn: 0.6243 0.6243 0.0000  5 Zn 2.69-2.99
Pt: 0.0000 0.0000 0.0000  6 Zn 2.46-2.47

# 5
Density functional theory data (GGA-PBE) for a relaxed structure of ZnSn2Pt2.

## Properties
total moment: 0.0 μB/f.u.
ΔE_f: -0.29 eV per atom
SG: P4/mbm
density of states at the Fermi level: 5.90 states/eV/cell
energy above the lowest structure with this stoichiometry: 0 meV per atom

Unit cell a=7.0644 b=7.0644 c=3.9272 alpha=90.00 beta=90.00 gamma=90.00
Last column: nearest neighbours and their distance in Å.
Positions (direct):
Zn: 0.0000 0.0000 0.0000  4 Pt 2.70
Zn: 0.5000 0.5000 0.0000  4 Pt 2.70
Sn: 0.1597 0.3403 0.5000  6 Pt 2.75-2.93
Sn: 0.3403 0.8403 0.5000  6 Pt 2.75-2.93
Sn: 0.6597 0.1597 0.5000  6 Pt 2.75-2.93
Sn: 0.8403 0.6597 0.5000  6 Pt 2.75-2.93
Pt: 0.1481 0.6481 0.0000  2 Zn 2.70, 6 Sn 2.75-2.93, 1 Pt 2.96
Pt: 0.3519 0.1481 0.0000  2 Zn 2.70, 6 Sn 2.75-2.93, 1 Pt 2.96
Pt: 0.6481 0.8519 0.0000  2 Zn 2.70, 6 Sn 2.75-2.93, 1 Pt 2.96
Pt: 0.8519 0.3519 0.0000  2 Zn 2.70, 6 Sn 2.75-2.93, 1 Pt 2.96

# 6
Density functional theory data (GGA-PBE) for a relaxed structure of Zn2SnPt2.

## Properties
total moment: 0.0 μB/f.u.
ΔE_f: -0.40 eV per atom
SG: Pmmn
density of states at the Fermi level: 3.77 states/eV/cell

Unit cell a=4.1982 b=4.3859 c=9.8779 alpha=90.00 beta=90.00 gamma=90.00
Last column: nearest neighbours and their distance in Å.
Positions (direct):
Zn: 0.2500 0.2500 0.0003  4 Pt 2.58-2.66
Zn: 0.2500 0.2500 0.3198  6 Pt 2.67-2.91
Zn: 0.7500 0.7500 0.9997  4 Pt 2.58-2.66
Zn: 0.7500 0.7500 0.6802  6 Pt 2.67-2.91
Sn: 0.2500 0.2500 0.6924  4 Pt 2.67-2.68
Sn: 0.7500 0.7500 0.3076  4 Pt 2.67-2.68
Pt: 0.2500 0.7500 0.4755  2 Sn 2.67, 4 Zn 2.68-2.91
Pt: 0.2500 0.7500 0.8476  6 Zn 2.58-2.67, 2 Sn 2.68
Pt: 0.7500 0.2500 0.1524  6 Zn 2.58-2.67, 2 Sn 2.68
Pt: 0.7500 0.2500 0.5245  2 Sn 2.67, 4 Zn 2.68-2.91

# 7
Density functional theory data (GGA-PBE) for a relaxed structure of ZnSn2Pt2.

## Properties
total moment: 0.0 μB/f.u.
ΔE_f: -0.10 eV per atom
SG: P4/mbm
density of states at the Fermi level: 4.42 states/eV/cell
energy above the lowest structure with this stoichiometry: 184 meV per atom

Unit cell a=8.0444 b=8.0444 c=3.0931 alpha=90.00 beta=90.00 gamma=90.00
Last column: nearest neighbours and their distance in Å.
Positions (direct):
Zn: 0.0000 0.0000 0.0000  4 Sn 3.00, 2 Zn 3.09
Zn: 0.5000 0.5000 0.0000  4 Sn 3.00, 2 Zn 3.09
Sn: 0.1653 0.3347 0.0000  6 Pt 2.80-2.85, 2 Zn 3.00, 2 Sn 3.09
Sn: 0.3347 0.8347 0.0000  6 Pt 2.80-2.85, 2 Zn 3.00, 2 Sn 3.09
Sn: 0.6653 0.1653 0.0000  6 Pt 2.80-2.85, 2 Zn 3.00, 2 Sn 3.09
Sn: 0.8347 0.6653 0.0000  6 Pt 2.80-2.85, 2 Zn 3.00, 2 Sn 3.09
Pt: 0.1298 0.6298 0.5000  6 Sn 2.80-2.85, 3 Pt 2.95-3.09
Pt: 0.3702 0.1298 0.5000  6 Sn 2.80-2.85, 3 Pt 2.95-3.09
Pt: 0.6298 0.8702 0.5000  6 Sn 2.80-2.85, 3 Pt 2.95-3.09
Pt: 0.8702 0.3702 0.5000  6 Sn 2.80-2.85, 3 Pt 2.95-3.09

# 8
Density functional theory data (GGA-PBE) for a relaxed structure of ZnSnPt5.

## Properties
total moment: 0.0 μB/f.u.
ΔE_f: -0.25 eV per atom
SG: P4/mmm
density of states at the Fermi level: 6.77 states/eV/cell
energy above the lowest structure with this stoichiometry: 0 meV per atom

Unit cell a=4.0587 b=4.0587 c=7.1491 alpha=90.00 beta=90.00 gamma=90.00
Last column: nearest neighbours and their distance in Å.
Positions (direct):
Zn: 0.0000 0.0000 0.0000  8 Pt 2.57
Sn: 0.5000 0.5000 0.5000  12 Pt 2.84-2.87
Pt: 0.0000 0.0000 0.5000  8 Pt 2.84, 4 Sn 2.87
Pt: 0.0000 0.5000 0.2216  2 Zn 2.57, 2 Sn 2.84, 6 Pt 2.84-2.87
Pt: 0.0000 0.5000 0.7784  2 Zn 2.57, 2 Sn 2.84, 6 Pt 2.84-2.87
Pt: 0.5000 0.0000 0.2216  2 Zn 2.57, 2 Sn 2.84, 6 Pt 2.84-2.87
Pt: 0.5000 0.0000 0.7784  2 Zn 2.57, 2 Sn 2.84, 6 Pt 2.84-2.87

# 9
Density functional theory data (GGA-PBE) for a relaxed structure of Zn2SnPt2.

## Properties
total moment: 0.0 μB/f.u.
ΔE_f: -0.38 eV per atom
SG: I4/mmm
density of states at the Fermi level: 2.10 states/eV/cell

Unit cell a=7.1142 b=7.1142 c=7.1142 alpha=150.62 beta=150.62 gamma=42.04
Last column: nearest neighbours and their distance in Å.
Positions (direct):
Zn: 0.2500 0.7500 0.5000  4 Zn 2.55, 4 Pt 2.64
Zn: 0.7500 0.2500 0.5000  4 Zn 2.55, 4 Pt 2.64
Sn: 0.0000 0.0000 0.0000  8 Pt 2.90
Pt: 0.3955 0.3955 0.0000  4 Zn 2.64, 1 Pt 2.78, 4 Sn 2.90
Pt: 0.6045 0.6045 0.0000  4 Zn 2.64, 1 Pt 2.78, 4 Sn 2.90

# 10
Density functional theory data (GGA-PBE) for a relaxed structure of ZnSnPt2.

## Properties
total moment: 0.0 μB/f.u.
ΔE_f: -0.19 eV per atom
SG: I-42d
density of states at the Fermi level: 4.22 states/eV/cell

Unit cell a=9.3627 b=9.3627 c=9.3627 alpha=154.87 beta=154.87 gamma=35.84
Last column: nearest neighbours and their distance in Å.
Positions (direct):
Zn: 0.0000 0.0000 0.0000  4 Pt 2.63, 4 Sn 2.88
Zn: 0.7500 0.2500 0.5000  4 Pt 2.63, 4 Sn 2.88
Sn: 0.2500 0.7500 0.5000  4 Pt 2.67, 4 Zn 2.88
Sn: 0.5000 0.5000 0.0000  4 Pt 2.67, 4 Zn 2.88
Pt: 0.1121 0.6250 0.9871  2 Zn 2.63, 2 Sn 2.67, 2 Pt 2.81
Pt: 0.3750 0.3621 0.4871  2 Zn 2.63, 2 Sn 2.67, 2 Pt 2.81
Pt: 0.6379 0.1250 0.0129  2 Zn 2.63, 2 Sn 2.67, 2 Pt 2.81
Pt: 0.8750 0.8879 0.5129  2 Zn 2.63, 2 Sn 2.67, 2 Pt 2.81

# 11
Density functional theory data (GGA-PBE) for a relaxed structure of ZnSnPt5.

## Properties
total moment: 0.0 μB/f.u.
ΔE_f: -0.20 eV per atom
SG: C2/c
density of states at the Fermi level: 8.92 states/eV/cell
energy above the lowest structure with this stoichiometry: 49 meV per atom

Unit cell a=6.3600 b=6.3600 c=6.8579 alpha=109.79 beta=109.79 gamma=92.89
Last column: nearest neighbours and their distance in Å.
Positions (direct):
Zn: 0.0000 0.5000 0.0000  6 Pt 2.52-2.70
Zn: 0.5000 0.0000 0.5000  6 Pt 2.52-2.70
Sn: 0.1934 0.8066 0.7500  7 Pt 2.57-2.77
Sn: 0.8066 0.1934 0.2500  7 Pt 2.57-2.77
Pt: 0.0858 0.9142 0.2500  2 Zn 2.52, 1 Sn 2.57, 2 Pt 2.71
Pt: 0.1760 0.3436 0.6446  5 Pt 2.70-2.98, 2 Sn 2.73-2.77, 1 Zn 2.92
Pt: 0.3139 0.5873 0.4131  2 Zn 2.61-2.70, 1 Sn 2.64, 6 Pt 2.70-2.91
Pt: 0.3436 0.1760 0.1446  5 Pt 2.70-2.98, 2 Sn 2.73-2.77, 1 Zn 2.92
Pt: 0.4127 0.6861 0.0869  2 Zn 2.61-2.70, 1 Sn 2.64, 6 Pt 2.70-2.91
Pt: 0.5873 0.3139 0.9131  2 Zn 2.61-2.70, 1 Sn 2.64, 6 Pt 2.70-2.91
Pt: 0.6564 0.8240 0.8554  5 Pt 2.70-2.98, 2 Sn 2.73-2.77, 1 Zn 2.92
Pt: 0.6861 0.4127 0.5869  2 Zn 2.61-2.70, 1 Sn 2.64, 6 Pt 2.70-2.91
Pt: 0.8240 0.6564 0.3554  5 Pt 2.70-2.98, 2 Sn 2.73-2.77, 1 Zn 2.92
Pt: 0.9142 0.0858 0.7500  2 Zn 2.52, 1 Sn 2.57, 2 Pt 2.71

# 12
Density functional theory data (GGA-PBE) for a relaxed structure of Zr2SnPt.

## Properties
total moment: 0.0 μB/f.u.
ΔE_f: -0.68 eV per atom
SG: P4/mmm
density of states at the Fermi level: 3.19 states/eV/cell

Unit cell a=4.2938 b=4.2938 c=4.3390 alpha=90.00 beta=90.00 gamma=90.00
Last column: nearest neighbours and their distance in Å.
Positions (direct):
Zr: 0.0000 0.5000 0.0000  4 Zr 3.04, 4 Sn 3.05, 4 Pt 3.05
Zr: 0.5000 0.0000 0.0000  4 Zr 3.04, 4 Sn 3.05, 4 Pt 3.05
Sn: 0.0000 0.0000 0.5000  4 Pt 3.04, 8 Zr 3.05
Pt: 0.5000 0.5000 0.5000  4 Sn 3.04, 8 Zr 3.05